VASP calculation (PBE) on an optimized crystal structure of Ac4Ir.

Cell lengths 8.395, 14.390, 6.907 Å; angles 90.00, 90.00, 90.00 degrees
Space group Cmce (No. 64)
Symmetry-distinct sites (fractional):
Ac1 0.000 0.169 0.241 [8 per cell]
Ac2 0.250 0.086 0.750 [8 per cell]
Ir1 0.000 0.000 0.000 [4 per cell]

Summary:
energy above the lowest structure with this stoichiometry	0.9	meV per atom
magnetic moment	0.01	μB/f.u.
electronic total energy	-5.37	eV/atom
calculated formation energy	-308	meV per atom
DOS at the Fermi energy	27.01	states/eV/cell


VASP calculation (PBE) on an optimized crystal structure of Ac2Ir.

Cell lengths 14.692, 4.435, 7.049 Å; angles 90.00, 90.00, 90.00 degrees
Space group Pnma (No. 62)
Symmetry-distinct sites (fractional):
Ac1 0.039 0.250 0.225 [4 per cell]
Ac2 0.211 0.250 0.781 [4 per cell]
Ir1 0.132 0.750 0.012 [4 per cell]

Summary:
energy above the lowest structure with this stoichiometry	0.0	meV per atom
magnetic moment	0.00	μB/f.u.
electronic total energy	-6.29	eV/atom
calculated formation energy	-594	meV per atom
DOS at the Fermi energy	7.38	states/eV/cell


VASP calculation (PBE) on an optimized crystal structure of KAc8Ir4.

Cell lengths 15.401, 15.401, 4.461 Å; angles 90.00, 90.00, 90.00 degrees
Space group I4/m (No. 87)
Symmetry-distinct sites (fractional):
K1 0.000 0.000 0.000 [2 per cell]
Ac1 0.042 0.662 0.000 [8 per cell]
Ac2 0.155 0.198 0.500 [8 per cell]
Ir1 0.152 0.327 0.000 [8 per cell]

Summary:
magnetic moment	0.00	μB/f.u.
electronic total energy	-5.87	eV/atom
calculated formation energy	-532	meV per atom
DOS at the Fermi energy	15.97	states/eV/cell


VASP calculation (PBE) on an optimized crystal structure of KAc2Ir.

Cell lengths 3.809, 3.809, 11.200 Å; angles 90.00, 90.00, 90.00 degrees
Space group P4/mmm (No. 123)
Symmetry-distinct sites (fractional):
K1 0.000 0.000 0.000 [1 per cell]
Ac1 0.500 0.500 0.347 [2 per cell]
Ir1 0.000 0.000 0.500 [1 per cell]

Summary:
energy above the lowest structure with this stoichiometry	219.5	meV per atom
magnetic moment	0.00	μB/f.u.
electronic total energy	-4.75	eV/atom
calculated formation energy	-208	meV per atom
DOS at the Fermi energy	2.81	states/eV/cell


Copy entry 2 word for word.
VASP calculation (PBE) on an optimized crystal structure of Ac2Ir.

Cell lengths 14.692, 4.435, 7.049 Å; angles 90.00, 90.00, 90.00 degrees
Space group Pnma (No. 62)
Symmetry-distinct sites (fractional):
Ac1 0.039 0.250 0.225 [4 per cell]
Ac2 0.211 0.250 0.781 [4 per cell]
Ir1 0.132 0.750 0.012 [4 per cell]

Summary:
energy above the lowest structure with this stoichiometry	0.0	meV per atom
magnetic moment	0.00	μB/f.u.
electronic total energy	-6.29	eV/atom
calculated formation energy	-594	meV per atom
DOS at the Fermi energy	7.38	states/eV/cell